Material: RbHoNiTe3
Method: DFT, PBE-GGA
State: optimized geometry

abc: 12.117 4.527 13.541
angles: 90.00 90.00 90.00
Fractional positions:
1 Te 0.121 0.000 0.455
2 Te 0.563 0.500 0.698
3 Te 0.063 0.500 0.802
4 Te 0.282 0.000 0.711
5 Te 0.218 0.500 0.211
6 Te 0.879 0.500 0.545
7 Te 0.718 0.500 0.289
8 Te 0.782 0.000 0.789
9 Te 0.437 0.000 0.302
10 Te 0.621 0.000 0.045
11 Te 0.379 0.500 0.955
12 Te 0.937 0.000 0.198
13 Ho 0.504 0.500 0.160
14 Ho 0.004 0.500 0.340
15 Ho 0.496 0.000 0.840
16 Ho 0.996 0.000 0.660
17 Ni 0.275 0.500 0.792
18 Ni 0.725 0.000 0.208
19 Ni 0.775 0.500 0.708
20 Ni 0.225 0.000 0.292
21 Rb 0.157 0.000 0.998
22 Rb 0.657 0.000 0.502
23 Rb 0.343 0.500 0.498
24 Rb 0.843 0.500 0.002

Computed properties:
- total DFT energy (no corrections) (eV/atom) = -4.25



Material: HoReNi
Method: DFT, PBE-GGA
State: optimized geometry

abc: 4.317 4.317 4.317
angles: 60.00 60.00 60.00
Last column: magnetic moment on the atom in μB.
Fractional positions:
1 Ho 0.250 0.250 0.250  0.01
2 Ni 0.000 0.000 0.000  0.47
3 Re 0.750 0.750 0.750  0.94

Computed properties:
- excess energy over the best structure of this formula in the dataset (meV/atom) = 0
- ΔE_f (meV per atom) = 530



Material: HoReNi
Method: DFT, PBE-GGA
State: optimized geometry

abc: 4.463 4.463 4.463
angles: 60.00 60.00 60.00
Fractional positions:
1 Re 0.750 0.750 0.750
2 Ho 0.000 0.000 0.000
3 Ni 0.250 0.250 0.250

Computed properties:
- excess energy over the best structure of this formula in the dataset (meV/atom) = 854
- ΔE_f (meV per atom) = 1384



| no. | calculated volume (Å³ per cell) |
| --- | --- |
| 1 | 742.80 |
| 2 | 56.89 |
| 3 | 62.85 |